A plane-wave DFT calculation with GGA-PBE was carried out for a relaxed structure of PmY7Tl4.

Unit cell a=5.717 b=9.318 c=7.884 alpha=74.31 beta=68.74 gamma=72.14
Fractional positions:
Pm1 0.000 0.000 0.000
Y1 0.790 0.878 0.542
Y2 0.210 0.122 0.458
Y3 0.062 0.605 0.270
Y4 0.938 0.395 0.730
Y5 0.279 0.659 0.783
Y6 0.500 0.000 0.000
Y7 0.721 0.341 0.217
Tl1 0.562 0.245 0.631
Tl2 0.438 0.755 0.369
Tl3 0.686 0.667 0.961
Tl4 0.314 0.333 0.039

## Properties
Its space group is C2/m (12). Its uncorrected energy is -5.0084 eV per atom.

A plane-wave DFT calculation with GGA-PBE was carried out for a relaxed structure of Pm6YTl4.

Unit cell a=3.741 b=10.393 c=10.393 alpha=120.00 beta=90.00 gamma=90.00
Site moments in Bohr magnetons follow the coordinates.
Fractional positions:
Pm1 0.000 0.542 0.084  0.14
Pm2 0.500 0.617 0.808  0.03
Pm3 0.000 0.542 0.458  0.14
Pm4 0.000 0.916 0.458  0.14
Pm5 0.500 0.192 0.808  0.03
Pm6 0.500 0.192 0.383  0.03
Y1 0.000 0.000 0.000  0.03
Tl1 0.500 0.843 0.687  0.00
Tl2 0.500 0.313 0.157  0.00
Tl3 0.500 0.843 0.157  0.00
Tl4 0.000 0.333 0.667  -0.01

## Properties
Its space group is P-6m2 (187). Its uncorrected energy is -4.2683 eV per atom.

A plane-wave DFT calculation with GGA-PBE was carried out for a relaxed structure of PmY3Tl4.

Unit cell a=3.563 b=7.261 c=10.107 alpha=111.05 beta=100.15 gamma=90.00
Site moments in Bohr magnetons follow the coordinates.
Fractional positions:
Pm1 0.500 0.000 0.000  0.09
Y1 0.000 0.500 0.000  0.00
Y2 0.218 0.218 0.437  0.00
Y3 0.782 0.782 0.563  0.00
Tl1 0.372 0.585 0.744  0.00
Tl2 0.628 0.415 0.256  0.00
Tl3 0.628 0.841 0.256  0.00
Tl4 0.372 0.159 0.744  0.00

## Properties
Its space group is Immm (71). As for the energy above the lowest structure with this stoichiometry: 1.07 eV per formula unit. Its uncorrected energy is -4.4474 eV per atom.

no.,formation enthalpy at 0 K (kJ/mol of formula units)
1,-61
2,-243
3,-190